[1]
Density functional theory data (PBE-GGA) for an optimized crystal structure of AcSmCI.

SG: R3m (160)
Crystal system: trigonal
DFT total energy (eV/cell): -22.1

Cell lengths 3.939, 3.942, 8.392 Å; angles 89.98, 103.61, 119.98 degrees
Positions (direct):
I: 0.954 0.375 0.344
Sm: 0.086 0.941 0.043
C: 0.317 0.557 0.889
Ac: 0.520 0.158 0.693


[2]
Density functional theory data (PBE-GGA) for an optimized crystal structure of Er7ZnSe5.

SG: P2_1 (4)
Crystal system: monoclinic
DFT total energy (eV/cell): -136.7

Cell lengths 3.988, 6.890, 24.057 Å; angles 90.00, 90.00, 106.83 degrees
Positions (direct):
Er: 0.361 0.722 0.963
Er: 0.531 0.062 0.750
Er: 0.191 0.383 0.180
Er: 0.092 0.182 0.884
Er: 0.469 0.939 0.250
Er: 0.907 0.816 0.117
Er: 0.193 0.386 0.320
Er: 0.640 0.279 0.463
Er: 0.638 0.276 0.037
Er: 0.362 0.725 0.537
Er: 0.809 0.618 0.680
Er: 0.909 0.819 0.384
Er: 0.808 0.615 0.820
Er: 0.093 0.186 0.617
Se: 0.001 0.002 0.500
Se: 0.554 0.108 0.358
Se: 0.722 0.445 0.928
Se: 0.449 0.897 0.642
Se: 0.447 0.894 0.858
Se: 0.552 0.105 0.142
Se: 0.000 0.999 0.000
Se: 0.724 0.448 0.572
Se: 0.277 0.553 0.072
Se: 0.278 0.556 0.428
Zn: 0.195 0.390 0.750
Zn: 0.806 0.611 0.250


[3]
Density functional theory data (PBE-GGA) for an optimized crystal structure of NaCe6Se8.

SG: Fm-3m (225)
Crystal system: cubic
DFT total energy (eV/cell): -90.8

Cell lengths 8.375, 8.375, 8.375 Å; angles 60.00, 60.00, 60.00 degrees
Site moments in Bohr magnetons follow the coordinates.
Positions (direct):
Ce: 0.500 0.500 0.000  0.88
Ce: 0.000 0.500 0.000  0.88
Ce: 0.500 0.000 0.500  0.88
Ce: 0.000 0.500 0.500  0.88
Ce: 0.500 0.000 0.000  0.88
Ce: 0.000 0.000 0.500  0.88
Se: 0.748 0.748 0.252  -0.03
Se: 0.252 0.748 0.748  -0.03
Se: 0.748 0.252 0.748  -0.03
Se: 0.250 0.250 0.250  -0.02
Se: 0.252 0.252 0.748  -0.03
Se: 0.750 0.750 0.750  -0.02
Se: 0.748 0.252 0.252  -0.03
Se: 0.252 0.748 0.252  -0.03
Na: 0.000 0.000 0.000  0.00


[4]
Density functional theory data (PBE-GGA) for an optimized crystal structure of NdEr3Ru.

ΔH_f (0 K) (kJ/mol of atoms): -19.4
SG: C2/m (12)
Crystal system: monoclinic
DFT total energy (eV/cell): -57.5

Cell lengths 7.303, 7.303, 7.217 Å; angles 107.29, 112.34, 109.31 degrees
Positions (direct):
Er: 0.848 0.058 0.304
Er: 0.152 0.942 0.696
Er: 0.300 0.555 0.855
Er: 0.754 0.544 0.696
Er: 0.700 0.445 0.145
Er: 0.246 0.456 0.304
Ru: 0.359 0.254 0.614
Ru: 0.641 0.746 0.386
Nd: 0.716 0.053 0.769
Nd: 0.284 0.947 0.231


[5]
Density functional theory data (PBE-GGA) for an optimized crystal structure of H12Pd5Pt3.

SG: Ia-3d (230)
Crystal system: cubic
DFT total energy (eV/cell): -330.7

Cell lengths 9.605, 9.605, 9.605 Å; angles 109.47, 109.47, 109.47 degrees
Positions (direct):
Pd: 0.375 0.125 0.750
Pd: 0.625 0.875 0.250
Pd: 0.125 0.375 0.250
Pd: 0.500 0.000 0.500
Pd: 0.000 0.500 0.000
Pd: 0.000 0.000 0.500
Pd: 0.750 0.625 0.375
Pd: 0.875 0.625 0.750
Pd: 0.750 0.125 0.875
Pd: 0.375 0.250 0.125
Pd: 0.500 0.500 0.500
Pd: 0.500 0.000 0.000
Pd: 0.250 0.375 0.625
Pd: 0.625 0.750 0.875
Pd: 0.000 0.000 0.000
Pd: 0.125 0.750 0.375
Pd: 0.500 0.500 0.000
Pd: 0.000 0.500 0.500
Pd: 0.250 0.875 0.125
Pd: 0.875 0.250 0.625
H: 0.836 0.934 0.280
H: 0.402 0.347 0.566
H: 0.945 0.598 0.164
H: 0.336 0.555 0.402
H: 0.347 0.402 0.066
H: 0.098 0.934 0.153
H: 0.098 0.164 0.445
H: 0.153 0.720 0.555
H: 0.836 0.902 0.055
H: 0.220 0.664 0.066
H: 0.555 0.220 0.153
H: 0.445 0.664 0.098
H: 0.566 0.847 0.402
H: 0.664 0.445 0.598
H: 0.780 0.445 0.347
H: 0.066 0.902 0.347
H: 0.434 0.153 0.598
H: 0.434 0.280 0.336
H: 0.934 0.836 0.780
H: 0.153 0.434 0.098
H: 0.280 0.434 0.836
H: 0.934 0.098 0.653
H: 0.720 0.153 0.055
H: 0.055 0.653 0.720
H: 0.280 0.847 0.945
H: 0.780 0.336 0.934
H: 0.847 0.566 0.902
H: 0.445 0.780 0.847
H: 0.164 0.066 0.720
H: 0.566 0.720 0.664
H: 0.598 0.653 0.434
H: 0.653 0.055 0.220
H: 0.664 0.220 0.566
H: 0.902 0.066 0.847
H: 0.402 0.055 0.336
H: 0.902 0.836 0.555
H: 0.945 0.347 0.280
H: 0.220 0.555 0.653
H: 0.347 0.945 0.780
H: 0.555 0.336 0.902
H: 0.653 0.598 0.934
H: 0.164 0.098 0.945
H: 0.847 0.280 0.445
H: 0.055 0.402 0.836
H: 0.720 0.566 0.164
H: 0.336 0.780 0.434
H: 0.598 0.945 0.664
H: 0.066 0.164 0.220
Pt: 0.125 0.875 0.750
Pt: 0.625 0.250 0.375
Pt: 0.750 0.875 0.625
Pt: 0.875 0.750 0.125
Pt: 0.750 0.375 0.125
Pt: 0.250 0.625 0.875
Pt: 0.250 0.125 0.375
Pt: 0.375 0.625 0.250
Pt: 0.875 0.125 0.250
Pt: 0.625 0.375 0.750
Pt: 0.125 0.250 0.875
Pt: 0.375 0.750 0.625


[6]
Density functional theory data (PBE-GGA) for an optimized crystal structure of NdTiAl2.

ΔH_f (0 K) (kJ/mol of atoms): 0.7
SG: R-3m (166)
Crystal system: trigonal
DFT total energy (eV/cell): -20.1

Cell lengths 3.149, 3.149, 10.017 Å; angles 80.96, 80.96, 60.00 degrees
Site moments in Bohr magnetons follow the coordinates.
Positions (direct):
Nd: 0.500 0.500 0.500  -0.03
Al: 0.260 0.260 0.220  0.00
Al: 0.740 0.740 0.780  0.00
Ti: 0.000 0.000 0.000  0.39


[7]
Density functional theory data (PBE-GGA) for an optimized crystal structure of Zn2NiAu3.

ΔH_f (0 K) (kJ/mol of atoms): -7.7
SG: Ibam (72)
Crystal system: orthorhombic
DFT total energy (eV/cell): -37.3

Cell lengths 5.393, 5.417, 7.707 Å; angles 110.57, 110.48, 90.00 degrees
Positions (direct):
Zn: 0.648 0.867 0.735
Zn: 0.913 0.633 0.265
Zn: 0.352 0.133 0.265
Zn: 0.087 0.367 0.735
Au: 0.082 0.826 0.652
Au: 0.500 0.250 0.000
Au: 0.918 0.174 0.348
Au: 0.571 0.326 0.652
Au: 0.429 0.674 0.348
Au: 0.500 0.750 0.000
Ni: 0.000 0.750 0.000
Ni: 0.000 0.250 0.000


[8]
Density functional theory data (PBE-GGA) for an optimized crystal structure of TiF4.

SG: Pm-3m (221)
Crystal system: cubic
DFT total energy (eV/cell): -29.2

Cell lengths 3.852, 3.852, 3.852 Å; angles 90.00, 90.00, 90.00 degrees
Site moments in Bohr magnetons follow the coordinates.
Positions (direct):
Ti: 0.500 0.500 0.500  0.23
F: 0.500 0.000 0.500  -0.01
F: 0.000 0.000 0.000  0.25
F: 0.000 0.500 0.500  -0.01
F: 0.500 0.500 0.000  -0.01


[9]
Density functional theory data (PBE-GGA) for an optimized crystal structure of BeP2NCl.

SG: P4/mmm (123)
Crystal system: tetragonal
DFT total energy (eV/cell): -17.4

Cell lengths 4.308, 4.308, 4.458 Å; angles 90.00, 90.00, 90.00 degrees
Site moments in Bohr magnetons follow the coordinates.
Positions (direct):
P: 0.500 0.000 0.000  -0.25
P: 0.000 0.500 0.000  -0.25
Be: 0.000 0.000 0.000  0.01
N: 0.500 0.500 0.500  1.50
Cl: 0.000 0.000 0.500  0.00


[10]
Density functional theory data (PBE-GGA) for an optimized crystal structure of BaCaRe2.

ΔH_f (0 K) (kJ/mol of atoms): 33.9
SG: Cm (8)
Crystal system: monoclinic
DFT total energy (eV/cell): -27.4

Cell lengths 4.229, 4.229, 8.921 Å; angles 76.51, 76.51, 59.99 degrees
Positions (direct):
Ca: 0.292 0.292 0.129
Re: 0.032 0.032 0.904
Re: 0.710 0.710 0.871
Ba: 0.466 0.466 0.596


[11]
Density functional theory data (PBE-GGA) for an optimized crystal structure of FeP2.

ΔH_f (0 K) (kJ/mol of atoms): 21.6
SG: I4/mmm (139)
Crystal system: tetragonal
DFT total energy (eV/cell): -18.6

Cell lengths 4.345, 4.345, 4.345 Å; angles 136.57, 136.67, 63.02 degrees
Site moments in Bohr magnetons follow the coordinates.
Positions (direct):
P: 0.672 0.672 0.000  -0.01
P: 0.328 0.328 0.000  -0.01
Fe: 0.000 0.000 0.000  1.99


[12]
Density functional theory data (PBE-GGA) for an optimized crystal structure of Na2CaAuF.

SG: P4/mmm (123)
Crystal system: tetragonal
DFT total energy (eV/cell): -16.2

Cell lengths 4.628, 4.628, 4.887 Å; angles 90.00, 90.00, 90.00 degrees
Positions (direct):
Na: 0.500 0.000 0.000
Na: 0.000 0.500 0.000
F: 0.000 0.000 0.000
Au: 0.500 0.500 0.500
Ca: 0.000 0.000 0.500